No. 1
{"formula": "Ca2CrAg", "functional": "PBE", "state": "optimized geometry", "spacegroup": "Fm-3m", "de_polymorph_ev_per_fu": 0.14, "lattice": [[0.000, 3.754, 3.754], [3.754, 0.000, 3.754], [3.754, 3.754, 0.000]], "species": ["Ca", "Ca", "Cr", "Ag"], "fractional_positions": [[0.250, 0.250, 0.250], [0.750, 0.750, 0.750], [0.000, 0.000, 0.000], [0.500, 0.500, 0.500]]}

No. 2
{"formula": "CaCr2Ag", "functional": "PBE", "state": "optimized geometry", "spacegroup": "I-42d", "de_polymorph_ev_per_fu": 2.49, "lattice": [[-2.099, 2.099, 9.995], [2.099, -2.099, 9.995], [2.099, 2.099, -9.995]], "species": ["Ca", "Ca", "Cr", "Cr", "Cr", "Cr", "Ag", "Ag"], "fractional_positions": [[0.000, 0.000, 0.000], [0.750, 0.250, 0.500], [0.325, 0.625, 0.200], [0.375, 0.575, 0.700], [0.425, 0.125, 0.800], [0.875, 0.675, 0.300], [0.250, 0.750, 0.500], [0.500, 0.500, 0.000]]}

No. 3
{"formula": "CaCr2Ag", "functional": "PBE", "state": "optimized geometry", "spacegroup": "C2/m", "de_polymorph_ev_per_fu": 1.35, "lattice": [[5.086, -1.529, 0.000], [5.086, 1.529, 0.000], [-1.330, 0.000, 5.049]], "species": ["Ca", "Cr", "Cr", "Ag"], "fractional_positions": [[0.000, 0.000, 0.000], [0.230, 0.230, 0.626], [0.770, 0.770, 0.374], [0.500, 0.500, 0.500]]}

No. 4
{"formula": "Ca2CrAg", "functional": "PBE", "state": "optimized geometry", "spacegroup": "R3m", "de_polymorph_ev_per_fu": 0.38, "lattice": [[2.390, 1.380, 5.903], [-2.390, 1.380, 5.903], [0.000, -2.760, 5.903]], "species": ["Ca", "Ca", "Cr", "Ag"], "fractional_positions": [[0.000, 0.000, 0.000], [0.196, 0.196, 0.196], [0.427, 0.427, 0.427], [0.771, 0.771, 0.771]]}

No. 5
{"formula": "CaCr2Ag", "functional": "PBE", "state": "optimized geometry", "spacegroup": "C2/m", "de_polymorph_ev_per_fu": 1.72, "lattice": [[2.989, -5.005, 0.000], [2.989, 5.005, 0.000], [-1.385, 0.000, 2.762]], "species": ["Ca", "Cr", "Cr", "Ag"], "fractional_positions": [[0.000, 0.000, 0.000], [0.000, 0.500, 0.500], [0.500, 0.000, 0.500], [0.500, 0.500, 0.000]]}

No. 6
{"formula": "CaCr2Ag", "functional": "PBE", "state": "optimized geometry", "spacegroup": "P4/mmm", "de_polymorph_ev_per_fu": 1.73, "lattice": [[3.652, 0.000, 0.000], [0.000, 3.652, 0.000], [0.000, 0.000, 6.252]], "species": ["Ca", "Cr", "Cr", "Ag"], "fractional_positions": [[0.000, 0.000, 0.000], [0.500, 0.500, 0.355], [0.500, 0.500, 0.645], [0.000, 0.000, 0.500]]}

No. 7
{"formula": "CaCrAg2", "functional": "PBE", "state": "optimized geometry", "spacegroup": "Pmmm", "de_polymorph_ev_per_fu": 0.08, "lattice": [[3.459, 0.000, 0.000], [0.000, 3.666, 0.000], [0.000, 0.000, 6.705]], "species": ["Ca", "Cr", "Ag", "Ag"], "fractional_positions": [[0.000, 0.000, 0.000], [0.000, 0.000, 0.500], [0.500, 0.500, 0.285], [0.500, 0.500, 0.715]]}

No. 8
{"formula": "CaCr2Ag", "functional": "PBE", "state": "optimized geometry", "spacegroup": "P4/mmm", "de_polymorph_ev_per_fu": 2.51, "lattice": [[3.775, 0.000, 0.000], [0.000, 3.775, 0.000], [0.000, 0.000, 4.814]], "species": ["Ca", "Cr", "Cr", "Ag"], "fractional_positions": [[0.000, 0.000, 0.000], [0.000, 0.500, 0.500], [0.500, 0.000, 0.500], [0.500, 0.500, 0.000]]}

No. 9
{"formula": "CaCrAg2", "functional": "PBE", "state": "optimized geometry", "spacegroup": "Cmmm", "de_polymorph_ev_per_fu": 0.08, "lattice": [[3.307, -3.322, 0.000], [3.307, 3.322, 0.000], [0.000, 0.000, 3.794]], "species": ["Ca", "Cr", "Ag", "Ag"], "fractional_positions": [[0.000, 0.000, 0.000], [0.500, 0.500, 0.000], [0.000, 0.500, 0.500], [0.500, 0.000, 0.500]]}

No. 10
{"formula": "CaCrAg2", "functional": "PBE", "state": "optimized geometry", "spacegroup": "C2/m", "de_polymorph_ev_per_fu": 0.64, "lattice": [[4.600, -1.631, 0.000], [4.600, 1.631, 0.000], [-1.093, 0.000, 5.955]], "species": ["Ca", "Cr", "Ag", "Ag"], "fractional_positions": [[0.000, 0.000, 0.000], [0.500, 0.500, 0.500], [0.242, 0.242, 0.698], [0.758, 0.758, 0.302]]}

No. 11
{"formula": "Ca2CrAg2", "functional": "PBE", "state": "optimized geometry", "spacegroup": "I4/mmm", "lattice": [[-1.948, 1.948, 8.760], [1.948, -1.948, 8.760], [1.948, 1.948, -8.760]], "species": ["Ca", "Ca", "Cr", "Ag", "Ag"], "fractional_positions": [[0.107, 0.107, 0.000], [0.893, 0.893, 0.000], [0.500, 0.500, 0.000], [0.250, 0.750, 0.500], [0.750, 0.250, 0.500]]}

No. 12
{"formula": "CaCr2Ag", "functional": "PBE", "state": "optimized geometry", "spacegroup": "Pmmm", "de_polymorph_ev_per_fu": 2.73, "lattice": [[2.651, 0.000, 0.000], [0.000, 4.949, 0.000], [0.000, 0.000, 5.291]], "species": ["Ca", "Cr", "Cr", "Ag"], "fractional_positions": [[0.000, 0.000, 0.000], [0.500, 0.500, 0.216], [0.500, 0.500, 0.784], [0.000, 0.000, 0.500]]}

No. 13
{"formula": "CaCr2Ag", "functional": "PBE", "state": "optimized geometry", "spacegroup": "I4/mmm", "de_polymorph_ev_per_fu": 1.25, "lattice": [[-2.211, 2.211, 4.311], [2.211, -2.211, 4.311], [2.211, 2.211, -4.311]], "species": ["Ca", "Cr", "Cr", "Ag"], "fractional_positions": [[0.000, 0.000, 0.000], [0.250, 0.750, 0.500], [0.750, 0.250, 0.500], [0.500, 0.500, 0.000]]}

No. 14
{"formula": "CaCrAg2", "functional": "PBE", "state": "optimized geometry", "spacegroup": "R-3m", "de_polymorph_ev_per_fu": 1.20, "lattice": [[1.670, 0.964, 9.165], [-1.670, 0.964, 9.165], [0.000, -1.928, 9.165]], "species": ["Ca", "Cr", "Ag", "Ag"], "fractional_positions": [[0.000, 0.000, 0.000], [0.500, 0.500, 0.500], [0.244, 0.244, 0.244], [0.756, 0.756, 0.756]]}

E_tot per entry: -3.911; -5.078; -5.362; -3.852; -5.270; -5.268; -4.166; -5.074; -4.166; -4.025; -3.609; -5.016; -5.387; -3.886 eV/atom
Calculated formation energy per entry: 0.83; 3.79; 2.65; 1.07; 3.02; 3.03; 0.66; 3.80; 0.66; 1.23; 1.29; 4.03; 2.55; 1.78 eV per formula unit